1.
Below is a geometry-optimized AcPPdO structure, with properties calculated at the PBE-GGA level.

a b c (Å): 4.0914 7.2008 6.2312
angles (deg): 90.00 90.00 90.00
Atoms (fractional coordinates):
Ac1 0.0000 0.2598 0.4538
Ac2 0.0000 0.7402 0.9538
O1 0.5000 0.4015 0.4046
O2 0.5000 0.5985 0.9046
P1 0.0000 0.8371 0.4530
P2 0.0000 0.1629 0.9530
Pd1 0.5000 0.6949 0.4425
Pd2 0.5000 0.3051 0.9425

Properties
- Offset from the most stable computed form: 0.627 eV per atom
- Spin magnetization: 0.00 μB/f.u.
- Energy: -6.19 eV per atom


2.
Below is a geometry-optimized AcRePO structure, with properties calculated at the PBE-GGA level.

a b c (Å): 4.3243 6.4676 6.1382
angles (deg): 90.00 90.00 90.00
Atoms (fractional coordinates):
Ac1 0.0000 0.2169 0.4535
Ac2 0.0000 0.7831 0.9535
O1 0.5000 0.3422 0.3378
O2 0.5000 0.6578 0.8378
P1 0.0000 0.7357 0.4469
P2 0.0000 0.2643 0.9469
Re1 0.5000 0.3917 0.0159
Re2 0.5000 0.6083 0.5159

Properties
- Offset from the most stable computed form: 0.748 eV per atom
- Spin magnetization: 0.00 μB/f.u.
- Energy: -7.71 eV per atom


3.
Below is a geometry-optimized AcRePO structure, with properties calculated at the PBE-GGA level.

a b c (Å): 4.4808 4.4808 7.0304
angles (deg): 90.00 90.00 90.00
Atoms (fractional coordinates):
Ac1 0.7500 0.2500 0.5000
Ac2 0.2500 0.7500 0.5000
O1 0.7500 0.2500 0.0000
O2 0.2500 0.7500 0.0000
P1 0.7500 0.7500 0.2143
P2 0.2500 0.2500 0.7857
Re1 0.2500 0.2500 0.1076
Re2 0.7500 0.7500 0.8924

Properties
- Offset from the most stable computed form: 2.086 eV per atom
- Spin magnetization: 0.33 μB/f.u.
- Energy: -6.37 eV per atom


4.
Below is a geometry-optimized AcRePO structure, with properties calculated at the PBE-GGA level.

a b c (Å): 3.9817 6.0945 6.6285
angles (deg): 90.00 90.00 90.00
Atoms (fractional coordinates):
Ac1 0.0000 0.2838 0.0650
Ac2 0.0000 0.7162 0.5650
O1 0.0000 0.3381 0.4430
O2 0.0000 0.6619 0.9430
P1 0.5000 0.9478 0.2672
P2 0.5000 0.0522 0.7672
Re1 0.5000 0.2374 0.4787
Re2 0.5000 0.7626 0.9787

Properties
- Offset from the most stable computed form: 0.691 eV per atom
- Spin magnetization: 0.00 μB/f.u.
- Energy: -7.76 eV per atom


5.
Below is a geometry-optimized AcRePO structure, with properties calculated at the PBE-GGA level.

a b c (Å): 4.0437 4.0437 9.1987
angles (deg): 90.00 90.00 90.00
Atoms (fractional coordinates):
Ac1 0.0000 0.5000 0.1468
Ac2 0.5000 0.0000 0.8532
O1 0.0000 0.0000 0.0000
O2 0.5000 0.5000 0.0000
P1 0.5000 0.0000 0.3554
P2 0.0000 0.5000 0.6446
Re1 0.0000 0.0000 0.5000
Re2 0.5000 0.5000 0.5000

Properties
- Offset from the most stable computed form: 0.000 eV per atom
- Spin magnetization: 0.01 μB/f.u.
- Energy: -8.45 eV per atom


6.
Below is a geometry-optimized AcTaPO structure, with properties calculated at the PBE-GGA level.

a b c (Å): 4.4176 4.4176 9.0187
angles (deg): 90.00 90.00 90.00
Atoms (fractional coordinates):
Ac1 0.0000 0.0000 0.5000
Ac2 0.5000 0.5000 0.5000
O1 0.0000 0.0000 0.0000
O2 0.5000 0.5000 0.0000
P1 0.5000 0.0000 0.2715
P2 0.0000 0.5000 0.7285
Ta1 0.5000 0.0000 0.0112
Ta2 0.0000 0.5000 0.9888

Properties
- Offset from the most stable computed form: 1.299 eV per atom
- Spin magnetization: 0.01 μB/f.u.
- Energy: -7.17 eV per atom


7.
Below is a geometry-optimized AcTaPO structure, with properties calculated at the PBE-GGA level.

a b c (Å): 4.6419 6.3691 6.1106
angles (deg): 90.00 90.00 90.00
Atoms (fractional coordinates):
Ac1 0.0000 0.7235 0.4568
Ac2 0.0000 0.2765 0.9568
O1 0.5000 0.8363 0.3344
O2 0.5000 0.1637 0.8344
P1 0.0000 0.2308 0.4529
P2 0.0000 0.7692 0.9529
Ta1 0.5000 0.8873 0.0099
Ta2 0.5000 0.1127 0.5099

Properties
- Offset from the most stable computed form: 0.483 eV per atom
- Spin magnetization: 0.01 μB/f.u.
- Energy: -7.98 eV per atom


8.
Below is a geometry-optimized AcTaPO structure, with properties calculated at the PBE-GGA level.

a b c (Å): 4.0767 4.0767 9.6060
angles (deg): 90.00 90.00 90.00
Atoms (fractional coordinates):
Ac1 0.0000 0.0000 0.1392
Ac2 0.5000 0.5000 0.8608
O1 0.5000 0.0000 0.0000
O2 0.0000 0.5000 0.0000
P1 0.5000 0.5000 0.3349
P2 0.0000 0.0000 0.6651
Ta1 0.5000 0.0000 0.5000
Ta2 0.0000 0.5000 0.5000

Properties
- Offset from the most stable computed form: 0.000 eV per atom
- Spin magnetization: 0.00 μB/f.u.
- Energy: -8.47 eV per atom